No. 1
DFT (GGA-PBE) results for a relaxed structure of ErTmTlC. Values from VASP.

Values from the calculation:
Total magnetic moment: 0.1 Bohr magnetons per cell
E: -5.57 eV/atom

```
&SYSTEM
  ibrav = 0, nat = 8, ntyp = 4
/
ATOMIC_SPECIES
Er 167.26 Er.upf
Tm 168.93 Tm.upf
Tl 204.38 Tl.upf
C 12.01 C.upf
CELL_PARAMETERS angstrom
3.569 0.000 0.000
-1.784 3.091 0.000
0.000 0.000 16.084
ATOMIC_POSITIONS crystal
Er 0.333 0.667 0.083
Er 0.667 0.333 0.917
Tm 0.333 0.667 0.418
Tm 0.667 0.333 0.582
Tl 0.333 0.667 0.749
Tl 0.667 0.333 0.251
C 0.000 0.000 0.000
C 0.000 0.000 0.500
```

No. 2
DFT (GGA-PBE) results for a relaxed structure of CuNiSbSe3. Values from VASP.

Values from the calculation:
Total magnetic moment: 0.0 Bohr magnetons per cell
E: -4.21 eV/atom

```
&SYSTEM
  ibrav = 0, nat = 24, ntyp = 4
/
ATOMIC_SPECIES
Cu 63.55 Cu.upf
Ni 58.69 Ni.upf
Sb 121.76 Sb.upf
Se 78.96 Se.upf
CELL_PARAMETERS angstrom
5.025 0.000 0.000
0.000 7.874 0.000
0.000 0.000 13.033
ATOMIC_POSITIONS crystal
Cu 0.028 0.112 0.442
Cu 0.472 0.888 0.942
Cu 0.528 0.388 0.558
Cu 0.972 0.612 0.058
Ni 0.015 0.640 0.747
Ni 0.485 0.360 0.247
Ni 0.515 0.860 0.253
Ni 0.985 0.140 0.753
Sb 0.086 0.126 0.140
Sb 0.414 0.874 0.640
Sb 0.586 0.374 0.860
Sb 0.914 0.626 0.360
Se 0.221 0.139 0.911
Se 0.224 0.384 0.702
Se 0.234 0.632 0.905
Se 0.266 0.368 0.405
Se 0.276 0.616 0.202
Se 0.279 0.861 0.411
Se 0.721 0.361 0.089
Se 0.724 0.116 0.298
Se 0.734 0.868 0.095
Se 0.766 0.132 0.595
Se 0.776 0.884 0.798
Se 0.779 0.639 0.589
```